No. 1
Entry from Alexandria via LeMat-Bulk: a geometry-optimized InPtCl6 structure (PBE).

The structure in CIF format:
```
data_InPtCl6
_symmetry_space_group_name_H-M 'C 1 2/m 1'
_symmetry_Int_Tables_number 12
_symmetry_space_group_name_Hall '-C 2y'
_cell_length_a 6.3286
_cell_length_b 11.7222
_cell_length_c 6.3287
_cell_angle_alpha 90.00
_cell_angle_beta 108.41
_cell_angle_gamma 90.00
loop_
_atom_site_label
_atom_site_type_symbol
_atom_site_fract_x
_atom_site_fract_y
_atom_site_fract_z
_atom_site_occupancy
In1 In 0.0000 0.0000 0.0000 1
Pt1 Pt 0.0000 0.5000 0.5000 1
Cl1 Cl 0.2240 0.3591 0.7259 1
Cl2 Cl 0.2421 0.0000 0.7554 1
```

Summary:
DFT total energy in eV per formula unit: -25.07
Uncorrected formation energy in eV per atom: -0.65
N(E_F) in states/eV/f.u.: 0.33

***

No. 2
Entry from Alexandria via LeMat-Bulk: a geometry-optimized LiTcPt structure (PBE).

The structure in CIF format:
```
data_LiTcPt
_symmetry_space_group_name_H-M 'C 1 m 1'
_symmetry_Int_Tables_number 8
_symmetry_space_group_name_Hall 'C -2y'
_cell_length_a 13.7077
_cell_length_b 2.7163
_cell_length_c 4.8775
_cell_angle_alpha 90.00
_cell_angle_beta 104.57
_cell_angle_gamma 90.00
loop_
_atom_site_label
_atom_site_type_symbol
_atom_site_fract_x
_atom_site_fract_y
_atom_site_fract_z
_atom_site_occupancy
Li1 Li 0.0000 0.0000 0.0000 1
Li2 Li 0.1702 0.5000 0.2997 1
Tc1 Tc 0.3425 0.0000 0.6429 1
Tc2 Tc 0.4873 0.0000 0.5022 1
Pt1 Pt 0.1517 0.0000 0.7814 1
Pt2 Pt 0.3311 0.5000 0.1196 1
```

Summary:
Energy relative to the elements in eV per atom: -0.190
DFT total energy in eV per formula unit: -18.89
N(E_F) in states/eV/f.u.: 1.67

***

No. 3
Entry from Alexandria via LeMat-Bulk: a geometry-optimized Na4Cd3Se5 structure (PBE).

The structure in CIF format:
```
data_Na4Cd3Se5
_symmetry_space_group_name_H-M 'P n m a'
_symmetry_Int_Tables_number 62
_symmetry_space_group_name_Hall '-P 2ac 2n'
_cell_length_a 14.2697
_cell_length_b 4.2950
_cell_length_c 20.5196
_cell_angle_alpha 90.00
_cell_angle_beta 90.00
_cell_angle_gamma 90.00
loop_
_atom_site_label
_atom_site_type_symbol
_atom_site_fract_x
_atom_site_fract_y
_atom_site_fract_z
_atom_site_occupancy
Na1 Na 0.0008 0.2500 0.2332 1
Na2 Na 0.0046 0.2500 0.5787 1
Na3 Na 0.1100 0.2500 0.0527 1
Na4 Na 0.2234 0.7500 0.6663 1
Cd1 Cd 0.0760 0.2500 0.8704 1
Cd2 Cd 0.1816 0.7500 0.2838 1
Cd3 Cd 0.2060 0.2500 0.4647 1
Se1 Se 0.1076 0.7500 0.9464 1
Se2 Se 0.1134 0.2500 0.3493 1
Se3 Se 0.1139 0.7500 0.1570 1
Se4 Se 0.1400 0.2500 0.7483 1
Se5 Se 0.1460 0.7500 0.5322 1
```

Summary:
DFT total energy in eV per formula unit: -35.85
Uncorrected formation energy in eV per atom: -0.87

***

No. 4
Entry from Alexandria via LeMat-Bulk: a geometry-optimized Li4RhAu structure (PBE).

The structure in CIF format:
```
data_Li4RhAu
_symmetry_space_group_name_H-M 'I m m m'
_symmetry_Int_Tables_number 71
_symmetry_space_group_name_Hall '-I 2 2'
_cell_length_a 4.2745
_cell_length_b 5.4110
_cell_length_c 7.3649
_cell_angle_alpha 90.00
_cell_angle_beta 90.00
_cell_angle_gamma 90.00
loop_
_atom_site_label
_atom_site_type_symbol
_atom_site_fract_x
_atom_site_fract_y
_atom_site_fract_z
_atom_site_occupancy
Li1 Li 0.0000 0.2433 0.1667 1
Rh1 Rh 0.0000 0.5000 0.5000 1
Au1 Au 0.0000 0.0000 0.5000 1
```

Summary:
Energy relative to the elements in eV per atom: -0.304
DFT total energy in eV per formula unit: -20.11
N(E_F) in states/eV/f.u.: 1.64

***

No. 5
Entry from Alexandria via LeMat-Bulk: a geometry-optimized FeHg2Au2 structure (PBE).

The structure in CIF format:
```
data_FeHg2Au2
_symmetry_space_group_name_H-M 'P 4/m b m'
_symmetry_Int_Tables_number 127
_symmetry_space_group_name_Hall '-P 4 2ab'
_cell_length_a 6.9222
_cell_length_b 6.9222
_cell_length_c 4.2396
_cell_angle_alpha 90.00
_cell_angle_beta 90.00
_cell_angle_gamma 90.00
loop_
_atom_site_label
_atom_site_type_symbol
_atom_site_fract_x
_atom_site_fract_y
_atom_site_fract_z
_atom_site_occupancy
Fe1 Fe 0.0000 0.0000 0.0000 1
Hg1 Hg 0.1654 0.3346 0.5000 1
Au1 Au 0.1450 0.6450 0.0000 1
```

Summary:
Energy relative to the elements in eV per atom: 0.345
DFT total energy in eV per formula unit: -13.90
N(E_F) in states/eV/f.u.: 4.33

***

No. 6
Entry from Alexandria via LeMat-Bulk: a geometry-optimized Tm4CoCl5 structure (PBE).

The structure in CIF format:
```
data_Tm4CoCl5
_symmetry_space_group_name_H-M 'C 1 2/m 1'
_symmetry_Int_Tables_number 12
_symmetry_space_group_name_Hall '-C 2y'
_cell_length_a 18.2192
_cell_length_b 3.7290
_cell_length_c 8.0703
_cell_angle_alpha 90.00
_cell_angle_beta 101.07
_cell_angle_gamma 90.00
loop_
_atom_site_label
_atom_site_type_symbol
_atom_site_fract_x
_atom_site_fract_y
_atom_site_fract_z
_atom_site_occupancy
Tm1 Tm 0.0040 0.0000 0.2167 1
Tm2 Tm 0.1462 0.5000 0.0689 1
Co1 Co 0.0000 0.5000 0.0000 1
Cl1 Cl 0.0000 0.5000 0.5000 1
Cl2 Cl 0.1661 0.0000 0.3157 1
Cl3 Cl 0.1844 0.0000 0.8522 1
```

Summary:
DFT total energy in eV per formula unit: -49.92
Uncorrected formation energy in eV per atom: -1.57
N(E_F) in states/eV/f.u.: 0.87

***

No. 7
Entry from Alexandria via LeMat-Bulk: a geometry-optimized TlRh2Se structure (PBE).

The structure in CIF format:
```
data_TlRh2Se
_symmetry_space_group_name_H-M 'P m m 2'
_symmetry_Int_Tables_number 25
_symmetry_space_group_name_Hall 'P 2 -2'
_cell_length_a 3.4321
_cell_length_b 4.6039
_cell_length_c 4.9100
_cell_angle_alpha 90.00
_cell_angle_beta 90.00
_cell_angle_gamma 90.00
loop_
_atom_site_label
_atom_site_type_symbol
_atom_site_fract_x
_atom_site_fract_y
_atom_site_fract_z
_atom_site_occupancy
Tl1 Tl 0.0000 0.0000 0.0000 1
Rh1 Rh 0.0000 0.5000 0.6638 1
Rh2 Rh 0.5000 0.0000 0.5235 1
Se1 Se 0.5000 0.5000 0.3334 1
```

Summary:
DFT total energy in eV per formula unit: -20.65
Uncorrected formation energy in eV per atom: -0.02
N(E_F) in states/eV/f.u.: 2.77

***

No. 8
Entry from Alexandria via LeMat-Bulk: a geometry-optimized Er6Hg3Pt structure (PBE).

The structure in CIF format:
```
data_Er6Hg3Pt
_symmetry_space_group_name_H-M 'P n n m'
_symmetry_Int_Tables_number 58
_symmetry_space_group_name_Hall '-P 2 2n'
_cell_length_a 8.8280
_cell_length_b 11.6849
_cell_length_c 5.0628
_cell_angle_alpha 90.00
_cell_angle_beta 90.00
_cell_angle_gamma 90.00
loop_
_atom_site_label
_atom_site_type_symbol
_atom_site_fract_x
_atom_site_fract_y
_atom_site_fract_z
_atom_site_occupancy
Er1 Er 0.0083 0.2426 0.0000 1
Er2 Er 0.1559 0.0849 0.5000 1
Er3 Er 0.1857 0.4120 0.5000 1
Hg1 Hg 0.0000 0.5000 0.0000 1
Hg2 Hg 0.1572 0.7221 0.5000 1
Pt1 Pt 0.0000 0.0000 0.0000 1
```

Summary:
Energy relative to the elements in eV per atom: -0.519
DFT total energy in eV per formula unit: -39.51
N(E_F) in states/eV/f.u.: 7.53

***

No. 9
Entry from Alexandria via LeMat-Bulk: a geometry-optimized YErHg structure (PBE).

The structure in CIF format:
```
data_YErHg
_symmetry_space_group_name_H-M 'I 4 m m'
_symmetry_Int_Tables_number 107
_symmetry_space_group_name_Hall 'I 4 -2'
_cell_length_a 3.6078
_cell_length_b 3.6078
_cell_length_c 12.8166
_cell_angle_alpha 90.00
_cell_angle_beta 90.00
_cell_angle_gamma 90.00
loop_
_atom_site_label
_atom_site_type_symbol
_atom_site_fract_x
_atom_site_fract_y
_atom_site_fract_z
_atom_site_occupancy
Y1 Y 0.0000 0.0000 0.0000 1
Er1 Er 0.0000 0.0000 0.6934 1
Hg1 Hg 0.0000 0.0000 0.3426 1
```

Summary:
Energy relative to the elements in eV per atom: -0.313
DFT total energy in eV per formula unit: -12.27
N(E_F) in states/eV/f.u.: 2.80

***

No. 10
Entry from Alexandria via LeMat-Bulk: a geometry-optimized Pr3Si structure (PBE).

The structure in CIF format:
```
data_Pr3Si
_symmetry_space_group_name_H-M 'P m m 2'
_symmetry_Int_Tables_number 25
_symmetry_space_group_name_Hall 'P 2 -2'
_cell_length_a 3.4743
_cell_length_b 3.9376
_cell_length_c 9.6858
_cell_angle_alpha 90.00
_cell_angle_beta 90.00
_cell_angle_gamma 90.00
loop_
_atom_site_label
_atom_site_type_symbol
_atom_site_fract_x
_atom_site_fract_y
_atom_site_fract_z
_atom_site_occupancy
Pr1 Pr 0.0000 0.0000 0.0000 1
Pr2 Pr 0.0000 0.5000 0.3290 1
Pr3 Pr 0.5000 0.5000 0.7150 1
Si1 Si 0.5000 0.0000 0.4832 1
```

Summary:
DFT total energy in eV per formula unit: -19.76
Uncorrected formation energy in eV per atom: 0.00
N(E_F) in states/eV/f.u.: 5.04

***

No. 11
Entry from Alexandria via LeMat-Bulk: a geometry-optimized DyYHoIn structure (PBE).

The structure in CIF format:
```
data_DyYHoIn
_symmetry_space_group_name_H-M 'F -4 3 m'
_symmetry_Int_Tables_number 216
_symmetry_space_group_name_Hall 'F -4 2 3'
_cell_length_a 7.7023
_cell_length_b 7.7023
_cell_length_c 7.7023
_cell_angle_alpha 90.00
_cell_angle_beta 90.00
_cell_angle_gamma 90.00
loop_
_atom_site_label
_atom_site_type_symbol
_atom_site_fract_x
_atom_site_fract_y
_atom_site_fract_z
_atom_site_occupancy
Dy1 Dy 0.0000 0.0000 0.0000 1
Y1 Y 0.0000 0.0000 0.5000 1
Ho1 Ho 0.2500 0.2500 0.7500 1
In1 In 0.2500 0.2500 0.2500 1
```

Summary:
Energy relative to the elements in eV per atom: -0.134
DFT total energy in eV per formula unit: -18.92
N(E_F) in states/eV/f.u.: 6.34

***

No. 12
Entry from Alexandria via LeMat-Bulk: a geometry-optimized As6Pt7 structure (PBE).

The structure in CIF format:
```
data_As6Pt7
_symmetry_space_group_name_H-M 'R -3 m'
_symmetry_Int_Tables_number 166
_symmetry_space_group_name_Hall '-R 3 2"'
_cell_length_a 5.7127
_cell_length_b 5.7127
_cell_length_c 25.8080
_cell_angle_alpha 90.00
_cell_angle_beta 90.00
_cell_angle_gamma 120.00
loop_
_atom_site_label
_atom_site_type_symbol
_atom_site_fract_x
_atom_site_fract_y
_atom_site_fract_z
_atom_site_occupancy
As1 As 0.0000 0.0000 0.0852 1
As2 As 0.0000 0.0000 0.1833 1
As3 As 0.0000 0.0000 0.3317 1
Pt1 Pt 0.0000 0.0000 0.5000 1
Pt2 Pt 0.0062 0.5031 0.0782 1
```

Summary:
Energy relative to the elements in eV per atom: 0.008
DFT total energy in eV per formula unit: -70.08
N(E_F) in states/eV/f.u.: 10.57